Crystalline Ba9La2S12 at its relaxed geometry, computed with PBEsol.

Values from the calculation:
Its symmetry is C2/m (12). The calculation puts the total energy at -130.39 eV/cell. The value obtained for the energy relative to the elements, uncorrected is -2076 meV/atom.

abc: 7.678 7.678 14.569
angles: 95.04 95.04 120.00
Positions (direct):
S 0.671 0.037 0.112
S 0.329 0.963 0.888
S 0.963 0.329 0.888
S 0.037 0.671 0.112
S 0.211 0.543 0.632
S 0.457 0.789 0.368
S 0.543 0.211 0.632
S 0.876 0.876 0.625
S 0.404 0.404 0.112
S 0.596 0.596 0.888
S 0.124 0.124 0.375
S 0.789 0.457 0.368
Ba 0.080 0.401 0.240
Ba 0.920 0.599 0.760
Ba 0.500 0.500 0.500
Ba 0.759 0.759 0.240
Ba 0.170 0.830 0.500
Ba 0.241 0.241 0.760
Ba 0.830 0.170 0.500
Ba 0.599 0.920 0.760
Ba 0.401 0.080 0.240
La 0.667 0.333 0.000
La 0.333 0.667 0.000

=====

Crystalline CsYTaMo2 at its relaxed geometry, computed with PBEsol.

Values from the calculation:
Its symmetry is P4/mmm (123). Its formation energy is 2689 meV per atom. The calculation puts the total energy at -30.41 eV/cell.

abc: 5.204 5.044 5.044
angles: 90.00 90.00 90.00
Positions (direct):
Mo 0.000 0.500 0.000
Mo 0.000 0.000 0.500
Ta 0.500 0.000 0.000
Y 0.000 0.000 0.000
Cs 0.500 0.500 0.500

=====

Crystalline TiSnOF2 at its relaxed geometry, computed with PBEsol.

Values from the calculation:
Its symmetry is P4/mmm (123). The calculation puts the total energy at -32.21 eV/cell. The value obtained for the energy relative to the elements, uncorrected is -2104 meV/atom.

abc: 3.864 4.189 4.189
angles: 90.00 90.00 90.00
Positions (direct):
F 0.000 0.000 0.500
F 0.000 0.500 0.000
Ti 0.000 0.000 0.000
O 0.500 0.000 0.000
Sn 0.500 0.500 0.500